Er2InPb5 (GGA-PBE, optimized geometry); size of the total moment = 0.000 μB per atom; formation energy = -6.03 kcal/mol of atoms; symmetry = Pbam; total energy = -4.062 eV/atom
1.0
-0.900 3.455 3.314
-5.220 2.224 -3.736
-8.339 -8.497 6.593
Er In Pb
4 2 10
Direct
0.500 0.262 0.373
0.500 0.738 0.627
0.500 0.238 0.873
0.500 0.762 0.127
0.000 0.000 0.500
0.000 0.500 0.000
0.500 0.262 0.121
0.500 0.738 0.879
0.500 0.762 0.379
0.500 0.238 0.621
0.000 0.990 0.747
0.000 0.010 0.253
0.000 0.490 0.753
0.000 0.510 0.247
0.000 0.500 0.500
0.000 0.000 0.000